(1)
8
Lattice="-3.4158 -3.7428 1.2326 2.5399 -3.3384 -3.0984 2.8299 -5.0907 3.4163" Properties=species:S:1:pos:R:3 comment="Ag2TeH, relaxed, DFT GGA-PBE" energy_ev_per_cell=-22.8 magnetic_moment_mub_per_fu=0.00 pbc="T T T"
H -0.4380 -3.5406 -0.9329
H 2.4660 -5.9849 -0.3075
Te 0.0000 0.0000 0.0000
Te -0.5119 -6.1871 1.8580
Ag -0.5940 -3.4639 1.0510
Ag 1.3520 -4.3924 -0.7421
Ag 2.1776 -6.9778 1.3945
Ag 0.9724 -9.5098 1.3977

---

(2)
16
Lattice="6.1121 0.0000 0.0000 0.0000 4.2613 2.0182 0.0000 3.5304 13.9351" Properties=species:S:1:pos:R:3 comment="Ag2TeH, relaxed, DFT GGA-PBE" energy_ev_per_cell=-46.6 magnetic_moment_mub_per_fu=0.00 pbc="T T T"
Ag 4.7664 6.6047 13.4644
Ag 1.3458 1.1870 2.4890
Ag 4.7664 5.0828 10.4657
Ag 1.3457 2.7089 5.4877
Ag 3.2262 3.2229 3.1643
Ag 2.8860 4.5688 12.7890
Ag 3.2261 4.9342 6.8306
Ag 2.8860 2.8574 9.1228
Te 1.4259 5.2117 9.7164
Te 4.6862 2.5799 6.2369
Te 1.4259 6.4758 14.2136
Te 4.6862 1.3159 1.7397
H 1.5220 4.6099 6.1622
H 4.5901 3.1817 9.7912
H 1.5220 3.5471 3.8327
H 4.5901 4.2445 12.1206

---

(3)
7
Lattice="-1.1661 -2.8134 -0.0255 1.9902 -3.0774 5.7524 -3.2084 -0.3814 9.3807" Properties=species:S:1:pos:R:3 comment="Ag3Te2H2, relaxed, DFT GGA-PBE" energy_ev_per_cell=-20.5 magnetic_moment_mub_per_fu=0.00 pbc="T T T"
Ag 0.0000 0.0000 0.0000
Ag -0.0955 -1.5768 4.4427
Ag -2.2888 -4.6954 10.6650
Te -2.0374 -0.8546 6.7002
Te -0.3469 -5.4176 8.4074
H -2.6505 -2.9188 10.0881
H 0.2662 -3.3534 5.0195

---

(4)
4
Lattice="0.0000 2.9927 2.9927 2.9927 0.0000 2.9927 2.9927 2.9927 0.0000" Properties=species:S:1:pos:R:3 comment="AgTeH2, relaxed, DFT GGA-PBE" energy_ev_per_cell=-9.3 magnetic_moment_mub_per_fu=0.00 pbc="T T T"
H 1.4964 1.4964 1.4964
H 4.4891 4.4891 4.4891
Te 2.9927 2.9927 2.9927
Ag 0.0000 0.0000 0.0000

---

(5)
10
Lattice="3.0011 0.0035 0.0000 -1.4905 6.5839 0.0000 0.0000 0.0000 8.8916" Properties=species:S:1:pos:R:3 comment="Ag2TeH2, relaxed, DFT GGA-PBE" energy_ev_per_cell=-28.5 magnetic_moment_mub_per_fu=0.00 pbc="T T T"
Ag 0.0117 4.9164 0.8747
Ag 1.5054 5.6410 6.8676
Ag 1.4989 1.6711 5.3204
Ag 0.0052 0.9465 2.4219
Te 1.5122 2.4254 0.3029
Te -0.0016 4.1621 4.7487
H 1.5109 5.7124 1.6441
H 0.0058 5.7926 7.9631
H -0.0003 0.8751 6.0899
H 1.5048 0.7948 3.5173

---

(6)
5
Lattice="3.4075 0.0000 0.0000 0.0000 3.4075 0.0000 1.7038 1.7038 6.7650" Properties=species:S:1:pos:R:3 comment="Ag2TeH2, relaxed, DFT GGA-PBE" energy_ev_per_cell=-13.7 magnetic_moment_mub_per_fu=0.00 pbc="T T T"
H 3.4075 1.7038 3.3825
H 1.7038 3.4075 3.3825
Te 0.0000 0.0000 0.0000
Ag 1.7038 1.7038 2.4040
Ag 3.4075 3.4075 4.3610

---

(7)
5
Lattice="-2.5837 4.5547 2.5472 -5.2110 -2.0986 -1.5329 -4.0511 -0.3918 3.2475" Properties=species:S:1:pos:R:3 comment="Ag2Te2H, relaxed, DFT GGA-PBE" energy_ev_per_cell=-14.3 magnetic_moment_mub_per_fu=0.00 pbc="T T T"
H 0.0000 0.0000 0.0000
Te -5.2660 2.6955 3.1509
Te -6.5797 -0.6312 1.1108
Ag -3.9663 0.5019 1.7355
Ag -7.8795 1.5623 2.5262

---

(8)
20
Lattice="-2.1867 -6.0494 3.4628 8.0171 2.0702 2.4429 -1.0980 3.4973 6.5169" Properties=species:S:1:pos:R:3 comment="Ag5Te3H2, relaxed, DFT GGA-PBE" energy_ev_per_cell=-58.7 magnetic_moment_mub_per_fu=0.00 pbc="T T T"
Ag 0.8695 -2.5070 2.6863
Ag 0.2703 0.6263 2.5839
Ag 3.8629 2.0250 9.7362
Ag 4.4620 -1.1083 9.8386
Ag 4.1177 4.0133 7.2728
Ag 0.6147 -4.4953 5.1497
Ag 2.2780 -2.4060 6.3955
Ag 2.4544 1.9240 6.0270
Ag -0.2276 -1.0836 4.9343
Ag 4.9600 0.6017 7.4882
Te 2.2689 -0.0150 8.1725
Te 5.5239 2.3174 5.3204
Te 2.4635 -0.4669 4.2500
Te -0.7916 -2.7994 7.1022
Te 6.1572 3.7854 9.2372
Te -1.4249 -4.2673 3.1853
H 2.4011 -4.0240 5.3834
H -1.0189 0.3805 6.0582
H 2.3313 3.5420 7.0392
H 5.7513 -0.8625 6.3643

---

(9)
12
Lattice="7.9454 6.4030 -22.2376 4.7244 1.8834 3.6613 -7.9255 -5.9003 5.3247" Properties=species:S:1:pos:R:3 comment="AgTeH4, relaxed, DFT GGA-PBE" energy_ev_per_cell=-38.6 magnetic_moment_mub_per_fu=0.00 pbc="T T T"
Ag 1.0164 0.2875 -9.4680
Ag 3.7278 2.0986 -3.7837
Te -1.8091 -2.0574 1.7377
Te 6.5534 4.4435 -14.9894
H 4.0163 2.5691 -9.0771
H 5.7304 3.0763 -11.3783
H -3.7058 -2.6693 -4.0535
H 1.3137 0.0666 2.1469
H 3.4306 2.3195 -15.3986
H 8.4501 5.0554 -9.1982
H -0.9861 -0.6902 -1.8734
H 0.7280 -0.1830 -4.1746

---

(10)
5
Lattice="2.5280 -0.4702 1.4937 0.9431 3.6347 -0.3067 -0.0835 -3.5312 11.6525" Properties=species:S:1:pos:R:3 comment="AgTe2H2, relaxed, DFT GGA-PBE" energy_ev_per_cell=-14.2 magnetic_moment_mub_per_fu=0.00 pbc="T T T"
Ag 0.0000 0.0000 0.0000
Te 1.8614 -1.8114 8.4798
Te 1.5262 1.4446 4.3597
H 2.3912 -0.9666 11.4029
H 0.9963 0.5998 1.4366

---

(11)
8
Lattice="-3.7137 0.7711 -3.7816 0.2801 -5.1803 -1.3314 -4.6201 -3.0501 0.1224" Properties=species:S:1:pos:R:3 comment="AgTeH2, relaxed, DFT GGA-PBE" energy_ev_per_cell=-20.7 magnetic_moment_mub_per_fu=0.00 pbc="T T T"
H -3.0304 -1.0134 -2.0811
H -1.8548 -3.8186 -1.6924
H -4.7217 -4.5139 -1.9728
H -6.5004 -5.5728 -4.2348
Te 0.0000 0.0000 0.0000
Te -5.0253 -2.2418 -3.1078
Ag -1.7168 -2.2046 -2.5565
Ag -3.0284 -5.2175 -1.8827

---

(12)
12
Lattice="-3.5022 -4.1522 1.5165 5.8318 -0.8540 3.0886 4.0341 0.7243 11.4507" Properties=species:S:1:pos:R:3 comment="Ag3Te2H, relaxed, DFT GGA-PBE" energy_ev_per_cell=-35.1 magnetic_moment_mub_per_fu=0.00 pbc="T T T"
Ag 3.7205 -2.6911 12.2817
Ag 3.4027 0.2694 8.6257
Ag 5.9117 -1.8905 8.3056
Ag 0.4519 -2.3913 7.7502
Ag 2.9609 -4.5513 7.4302
Ag 2.6431 -1.5907 3.7742
Te 1.9731 -1.6722 10.1275
Te 4.3905 -2.6096 5.9283
Te 5.0939 -0.5741 10.6242
Te 1.2697 -3.7077 5.4317
H 1.5709 -0.1413 4.2478
H 4.7927 -4.1405 11.8080

---

(13)
5
Lattice="-0.7534 0.4510 -4.1769 -0.2534 -4.0624 1.7878 -5.9471 3.7312 1.4755" Properties=species:S:1:pos:R:3 comment="AgTe2H2, relaxed, DFT GGA-PBE" energy_ev_per_cell=-15.0 magnetic_moment_mub_per_fu=0.00 pbc="T T T"
Ag 0.0000 0.0000 0.0000
Te -4.7203 0.1803 0.8709
Te -2.2336 -0.0606 -1.7844
H -2.5329 -2.4462 0.1928
H -4.4210 2.5659 -1.1063

---

(14)
4
Lattice="-4.1206 -2.2975 -0.6167 -3.9176 1.4964 2.2476 -3.5198 2.0469 -2.4617" Properties=species:S:1:pos:R:3 comment="Ag2TeH, relaxed, DFT GGA-PBE" energy_ev_per_cell=-10.2 magnetic_moment_mub_per_fu=0.97 pbc="T T T"
H 0.0000 0.0000 0.0000
Te -5.7790 0.6229 -0.4154
Ag -2.8895 0.3114 -0.2077
Ag -8.6685 0.9343 -0.6231

---

(15)
10
Lattice="-3.7875 -6.8684 3.6106 5.6311 -5.1972 -3.9795 2.0032 0.2285 2.5361" Properties=species:S:1:pos:R:3 comment="Ag2Te2H, relaxed, DFT GGA-PBE" energy_ev_per_cell=-25.6 magnetic_moment_mub_per_fu=0.99 pbc="T T T"
H 0.0000 0.0000 0.0000
H 0.9218 -6.0328 -0.1844
Te 4.1122 -4.4154 -0.7808
Te 3.2315 -8.7845 0.3086
Te -0.2654 -7.4216 2.9479
Te 0.6153 -3.0524 1.8586
Ag 3.4812 -6.9549 -2.1229
Ag 0.3367 -9.2347 0.5663
Ag -1.6376 -5.1106 1.7541
Ag 1.5069 -2.8308 -0.9351

---

(16)
8
Lattice="5.9024 -0.1462 0.0074 0.0683 3.2218 -0.0243 0.2802 -3.3310 10.5164" Properties=species:S:1:pos:R:3 comment="AgTeH2, relaxed, DFT GGA-PBE" energy_ev_per_cell=-25.4 magnetic_moment_mub_per_fu=0.00 pbc="T T T"
Ag 0.1743 -0.0546 5.2460
Ag 3.0913 -1.7386 5.2619
Te 1.9216 -0.0891 7.2741
Te 4.3294 -0.1662 3.2254
H 4.7180 -2.1290 9.4439
H 1.5330 1.8737 1.0556
H 4.7608 -1.7187 10.0714
H 1.4902 1.4633 0.4281

---

(17)
12
Lattice="6.1310 0.0000 0.0000 0.0000 6.5155 0.0000 -3.0655 -3.2578 7.7876" Properties=species:S:1:pos:R:3 comment="Tl2AgTe2H, relaxed, DFT GGA-PBE" energy_ev_per_cell=-33.2 magnetic_moment_mub_per_fu=0.00 pbc="T T T"
Tl 3.0655 4.6052 2.7435
Tl 0.0000 1.9103 2.7435
Tl 3.0655 1.3474 5.0442
Tl 0.0000 -1.3475 5.0442
Ag 4.5983 3.2578 0.0000
Ag 1.5328 3.2578 0.0000
Te 0.0000 1.9843 6.3164
Te 3.0655 1.2735 1.4713
Te 0.0000 5.2420 1.4713
Te 3.0655 -1.9843 6.3164
H 1.5328 0.0000 0.0000
H 4.5983 0.0000 0.0000

---

(18)
6
Lattice="-0.0373 -3.6881 0.8997 3.2003 1.5956 -1.3365 -3.6915 2.6535 10.7247" Properties=species:S:1:pos:R:3 comment="ThAgH, relaxed, DFT GGA-PBE" energy_ev_per_cell=-27.4 magnetic_moment_mub_per_fu=0.00 pbc="T T T"
H 0.7599 -1.2265 3.0136
H -1.2884 1.7875 7.2743
Ag 1.3020 0.1158 0.5288
Ag -1.8305 0.4452 9.7591
Th -0.3727 -0.2485 6.9760
Th -0.1558 0.8095 3.3119

---

(19)
80
Lattice="-11.1881 -4.4888 -6.4381 7.1499 -10.6649 4.6809 -3.6634 7.9785 10.4735" Properties=species:S:1:pos:R:3 comment="Th12Ag3H5, relaxed, DFT GGA-PBE" energy_ev_per_cell=-454.7 magnetic_moment_mub_per_fu=0.00 pbc="T T T"
H 0.3668 -2.5658 3.5690
H 3.5749 -5.3324 2.3405
H 0.0000 0.0000 0.0000
H -2.8660 -3.3522 0.0651
H -7.4257 1.7449 2.0177
H -2.0191 -7.5768 -0.8786
H 2.5901 -5.5678 6.6335
H -10.7028 2.2815 4.9208
H -5.2962 -7.0402 2.0245
H -6.0494 2.9675 6.0259
H -1.6523 -10.1426 2.6903
H -3.8508 -3.5876 4.3581
H -5.5940 -2.2444 -3.2191
H -1.8317 3.9893 5.2368
H -2.4055 -0.1350 6.6917
H 3.0012 -9.4567 3.7955
H 1.7432 -1.3432 7.5772
H -10.2917 -1.6073 2.0828
H -4.8356 -3.8230 8.6512
H -8.0685 -4.6094 5.1473
Ag -6.1678 -6.3686 -1.7641
Ag -4.8851 -10.9290 -0.8135
Ag -1.1228 -4.6954 7.6423
Ag -3.2771 0.5366 2.9031
Ag -9.8117 -3.2662 -2.4299
Ag -0.6427 -6.3542 3.1296
Ag -7.0589 -0.8209 5.5866
Ag 2.1101 -3.9090 11.1462
Ag -4.4246 -7.7118 5.8131
Ag -6.5789 -2.4798 1.0740
Ag -2.8165 3.7539 9.5298
Ag -1.5338 -0.8066 10.4804
Th -7.1445 -4.1874 -3.8586
Th -1.3030 -3.6501 4.6626
Th -9.3057 -6.2272 -1.3933
Th -4.7110 -3.6116 -1.2344
Th -4.1458 -4.6780 6.6630
Th -7.4650 -9.2486 -1.6000
Th 0.7191 -6.6699 5.9669
Th 5.0368 -9.2107 4.7731
Th -2.1124 -7.6790 7.9929
Th -4.2988 -7.9988 0.2228
Th -6.8886 -5.6231 1.2398
Th -2.6606 -13.1984 -0.8258
Th 1.9264 -3.8701 7.9888
Th -1.8196 -5.3448 0.3729
Th 3.9919 -6.9715 7.7401
Th -5.9350 1.7571 4.1071
Th -0.4595 -0.8068 2.3929
Th -0.8487 -8.7666 1.0715
Th -3.7047 -10.9321 2.1209
Th 1.3474 -4.0679 2.1754
Th -0.2627 -5.9005 10.4373
Th -3.7714 -5.9136 3.2758
Th -6.2259 -8.6253 3.3598
Th -10.0027 0.3134 5.8132
Th -3.9303 -1.2616 5.4405
Th -1.4757 1.4501 5.3565
Th 2.3011 -7.4886 2.9031
Th -3.9970 3.7569 6.5954
Th -7.4389 -1.2747 -1.7210
Th -9.0490 -3.1072 6.5409
Th -6.8529 1.5915 7.6448
Th -1.7666 -8.9323 4.6091
Th -7.2421 -6.3683 6.3233
Th -11.6935 -0.2037 0.9762
Th -9.6280 -3.3051 0.7274
Th -5.0410 6.0232 9.5421
Th -5.8820 -1.8304 8.3434
Th -5.5892 0.5038 0.7234
Th -3.4028 0.8236 8.4935
Th -0.8130 -1.5521 7.4765
Th -12.7384 2.0356 3.9432
Th -8.4207 -0.5052 2.7494
Th -2.9907 -3.5636 9.9506
Th -0.2366 2.0734 10.3163
Th -3.5558 -2.4972 2.0533
Th 1.6041 -0.9480 10.1095
Th -6.3987 -3.5251 4.0537
Th -0.5572 -2.9877 12.5749

---

(20)
14
Lattice="-3.2492 0.5238 5.5895 4.5330 -3.5651 2.9692 3.3119 5.3935 1.4198" Properties=species:S:1:pos:R:3 comment="Th3AgH3, relaxed, DFT GGA-PBE" energy_ev_per_cell=-72.1 magnetic_moment_mub_per_fu=0.00 pbc="T T T"
H 0.8437 2.8277 2.1073
H 3.0945 -0.4342 1.8395
H 1.7751 -2.4119 5.0216
H -0.7810 3.0896 4.9020
H 4.7504 2.2625 2.5494
H -0.4914 -0.6294 3.5370
Ag 2.2978 1.1761 4.9892
Ag 0.0000 0.0000 0.0000
Th 2.7892 1.8054 1.4522
Th 5.0557 0.0229 2.9368
Th 0.8593 4.3070 3.8596
Th -0.1704 -1.3897 5.6767
Th -0.7966 1.6103 3.1497
Th 1.4542 -1.6516 2.8820